A geometry-optimized Cs4NaPb3Br12 structure, computed with PBE-GGA.

Calculated values
ΔE_f (raw)	-1286	meV per atom
DOS(E_F)	6.329	states/eV/f.u.
space-group type	Im-3m
magnetization	0.00	Bohr magnetons per cell

Lattice parameters (Å, degrees): 10.211 10.211 10.211 109.47 109.47 109.47
Fractional positions:
Cs  0.000  0.000  0.500
Cs  0.000  0.500  0.000
Cs  0.500  0.000  0.000
Cs  0.500  0.500  0.500
Na  0.000  0.000  0.000
Pb  0.000  0.500  0.500
Pb  0.500  0.000  0.500
Pb  0.500  0.500  0.000
Br  0.000  0.252  0.252
Br  0.000  0.748  0.748
Br  0.250  0.500  0.750
Br  0.250  0.750  0.500
Br  0.252  0.000  0.252
Br  0.252  0.252  0.000
Br  0.500  0.250  0.750
Br  0.500  0.750  0.250
Br  0.748  0.000  0.748
Br  0.748  0.748  0.000
Br  0.750  0.250  0.500
Br  0.750  0.500  0.250


A geometry-optimized Cs3Na3PbBr8 structure, computed with PBE-GGA.

Calculated values
ΔE_f (raw)	-1506	meV per atom
DOS(E_F)	0.000	states/eV/f.u.
space-group type	C2/m
magnetization	0.00	Bohr magnetons per cell

Lattice parameters (Å, degrees): 9.096 9.096 9.795 117.69 117.69 59.95
Fractional positions:
Cs  0.000  0.000  0.000
Cs  0.000  0.500  0.000
Cs  0.500  0.000  0.000
Na  0.000  0.500  0.500
Na  0.500  0.000  0.500
Na  0.500  0.500  0.500
Pb  0.000  0.000  0.500
Br  0.231  0.231  0.698
Br  0.232  0.736  0.698
Br  0.264  0.768  0.302
Br  0.267  0.267  0.301
Br  0.733  0.733  0.699
Br  0.736  0.232  0.698
Br  0.768  0.264  0.302
Br  0.769  0.769  0.302


A geometry-optimized CsNaPbBr4 structure, computed with PBE-GGA.

Calculated values
ΔE_f (raw)	-1319	meV per atom
DOS(E_F)	0.000	states/eV/f.u.
space-group type	P2_1/m
magnetization	0.00	Bohr magnetons per cell

Lattice parameters (Å, degrees): 8.016 7.884 9.259 90.00 101.69 90.00
Fractional positions:
Cs  0.154  0.250  0.080
Cs  0.846  0.750  0.920
Na  0.386  0.250  0.677
Na  0.614  0.750  0.323
Pb  0.160  0.750  0.458
Pb  0.840  0.250  0.542
Br  0.122  0.004  0.709
Br  0.122  0.496  0.709
Br  0.273  0.750  0.164
Br  0.473  0.250  0.400
Br  0.527  0.750  0.600
Br  0.727  0.250  0.836
Br  0.878  0.504  0.291
Br  0.878  0.996  0.291


A geometry-optimized CsNa3Pb4Br12 structure, computed with PBE-GGA.

Calculated values
ΔE_f (raw)	-1184	meV per atom
DOS(E_F)	0.000	states/eV/f.u.
space-group type	Im-3
magnetization	0.00	Bohr magnetons per cell

Lattice parameters (Å, degrees): 9.856 9.856 9.856 109.47 109.47 109.47
Fractional positions:
Cs  0.000  0.000  0.000
Na  0.000  0.500  0.500
Na  0.500  0.000  0.500
Na  0.500  0.500  0.000
Pb  0.000  0.000  0.500
Pb  0.000  0.500  0.000
Pb  0.500  0.000  0.000
Pb  0.500  0.500  0.500
Br  0.134  0.824  0.310
Br  0.176  0.310  0.486
Br  0.176  0.690  0.866
Br  0.310  0.134  0.824
Br  0.310  0.486  0.176
Br  0.486  0.176  0.310
Br  0.514  0.824  0.690
Br  0.690  0.514  0.824
Br  0.690  0.866  0.176
Br  0.824  0.310  0.134
Br  0.824  0.690  0.514
Br  0.866  0.176  0.690


A geometry-optimized CsNaPb2Br6 structure, computed with PBE-GGA.

Calculated values
ΔE_f (raw)	-1218	meV per atom
DOS(E_F)	0.000	states/eV/f.u.
space-group type	R3
magnetization	0.00	Bohr magnetons per cell

Lattice parameters (Å, degrees): 8.409 8.409 8.409 57.01 57.01 57.01
Fractional positions:
Cs  0.000  0.000  0.000
Na  0.467  0.467  0.467
Pb  0.267  0.267  0.267
Pb  0.779  0.779  0.779
Br  0.052  0.592  0.457
Br  0.172  0.535  0.881
Br  0.457  0.052  0.592
Br  0.535  0.881  0.172
Br  0.592  0.457  0.052
Br  0.881  0.172  0.535


A geometry-optimized CsNa2Pb2Br7 structure, computed with PBE-GGA.

Calculated values
ΔE_f (raw)	-1281	meV per atom
DOS(E_F)	0.000	states/eV/f.u.
space-group type	Cm
magnetization	0.00	Bohr magnetons per cell

Lattice parameters (Å, degrees): 12.854 12.854 6.050 103.57 103.57 27.21
Fractional positions:
Cs  0.000  0.000  0.000
Na  0.250  0.250  0.769
Na  0.750  0.750  0.269
Pb  0.377  0.377  0.394
Pb  0.623  0.623  0.641
Br  0.123  0.123  0.641
Br  0.252  0.252  0.271
Br  0.377  0.377  0.896
Br  0.500  0.500  0.530
Br  0.623  0.623  0.141
Br  0.748  0.748  0.767
Br  0.877  0.877  0.396


A geometry-optimized Cs2NaPmBr6 structure, computed with PBE-GGA.

Calculated values
ΔE_f (raw)	-1827	meV per atom
DOS(E_F)	0.000	states/eV/f.u.
space-group type	Fm-3m
magnetization	0.00	Bohr magnetons per cell

Lattice parameters (Å, degrees): 8.220 8.220 8.220 60.00 60.00 60.00
Fractional positions:
Cs  0.250  0.250  0.250
Cs  0.750  0.750  0.750
Na  0.000  0.000  0.000
Pm  0.500  0.500  0.500
Br  0.253  0.253  0.747
Br  0.253  0.747  0.253
Br  0.253  0.747  0.747
Br  0.747  0.253  0.253
Br  0.747  0.253  0.747
Br  0.747  0.747  0.253


A geometry-optimized CsNaPmBr5 structure, computed with PBE-GGA.

Calculated values
ΔE_f (raw)	-1785	meV per atom
DOS(E_F)	0.000	states/eV/f.u.
space-group type	C2/c
magnetization	0.00	Bohr magnetons per cell

Lattice parameters (Å, degrees): 8.440 8.440 11.168 102.67 102.67 108.86
Fractional positions:
Cs  0.165  0.835  0.750
Cs  0.835  0.165  0.250
Na  0.190  0.810  0.250
Na  0.810  0.190  0.750
Pm  0.500  0.500  0.000
Pm  0.500  0.500  0.500
Br  0.143  0.253  0.928
Br  0.209  0.601  0.417
Br  0.253  0.143  0.428
Br  0.399  0.791  0.083
Br  0.438  0.562  0.750
Br  0.562  0.438  0.250
Br  0.601  0.209  0.917
Br  0.747  0.857  0.572
Br  0.791  0.399  0.583
Br  0.857  0.747  0.072


A geometry-optimized CsNa2PrBr6 structure, computed with PBE-GGA.

Calculated values
ΔE_f (raw)	-1738	meV per atom
DOS(E_F)	0.000	states/eV/f.u.
space-group type	R3
magnetization	0.00	Bohr magnetons per cell

Lattice parameters (Å, degrees): 8.463 8.463 8.463 54.70 54.70 54.70
Fractional positions:
Cs  0.000  0.000  0.000
Na  0.274  0.274  0.274
Na  0.791  0.791  0.791
Pr  0.469  0.469  0.469
Br  0.058  0.594  0.477
Br  0.205  0.538  0.864
Br  0.477  0.058  0.594
Br  0.538  0.864  0.205
Br  0.594  0.477  0.058
Br  0.864  0.205  0.538


A geometry-optimized Cs3Na2PrBr8 structure, computed with PBE-GGA.

Calculated values
ΔE_f (raw)	-1708	meV per atom
DOS(E_F)	0.000	states/eV/f.u.
space-group type	P-3m1
magnetization	0.00	Bohr magnetons per cell

Lattice parameters (Å, degrees): 8.162 8.162 10.810 90.00 90.00 120.00
Fractional positions:
Cs  0.000  0.000  0.000
Cs  0.333  0.667  0.624
Cs  0.667  0.333  0.376
Na  0.333  0.667  0.186
Na  0.667  0.333  0.814
Pr  0.000  0.000  0.500
Br  0.165  0.330  0.339
Br  0.165  0.835  0.339
Br  0.330  0.165  0.661
Br  0.333  0.667  0.938
Br  0.667  0.333  0.062
Br  0.670  0.835  0.339
Br  0.835  0.165  0.661
Br  0.835  0.670  0.661


A geometry-optimized Cs2NaPtBr6 structure, computed with PBE-GGA.

Calculated values
ΔE_f (raw)	-1101	meV per atom
excess energy over the best structure of this formula in the dataset	8	meV/atom
DOS(E_F)	4.067	states/eV/f.u.
space-group type	I4/mmm
magnetization	0.00	Bohr magnetons per cell

Lattice parameters (Å, degrees): 7.846 7.846 7.846 119.97 119.97 90.05
Fractional positions:
Cs  0.250  0.750  0.500
Cs  0.750  0.250  0.500
Na  0.000  0.000  0.000
Pt  0.500  0.500  0.000
Br  0.267  0.267  0.534
Br  0.267  0.733  0.000
Br  0.268  0.268  0.000
Br  0.732  0.732  0.000
Br  0.733  0.267  0.000
Br  0.733  0.733  0.466


A geometry-optimized Cs2NaPtBr6 structure, computed with PBE-GGA.

Calculated values
ΔE_f (raw)	-1110	meV per atom
excess energy over the best structure of this formula in the dataset	0	meV/atom
DOS(E_F)	4.740	states/eV/f.u.
space-group type	R-3m
magnetization	0.50	Bohr magnetons per cell

Lattice parameters (Å, degrees): 14.280 14.280 14.280 31.41 31.41 31.41
Fractional positions:
Cs  0.124  0.124  0.124
Cs  0.297  0.297  0.297
Cs  0.703  0.703  0.703
Cs  0.876  0.876  0.876
Na  0.415  0.415  0.415
Na  0.585  0.585  0.585
Pt  0.000  0.000  0.000
Pt  0.500  0.500  0.500
Br  0.145  0.624  0.624
Br  0.195  0.195  0.721
Br  0.195  0.721  0.195
Br  0.279  0.805  0.805
Br  0.376  0.376  0.855
Br  0.376  0.855  0.376
Br  0.624  0.145  0.624
Br  0.624  0.624  0.145
Br  0.721  0.195  0.195
Br  0.805  0.279  0.805
Br  0.805  0.805  0.279
Br  0.855  0.376  0.376